# 1
A relaxed structure of GaIrAu3. Source: the Alexandria database, functional PBEsol.

Geometry as POSCAR:
```
GaIrAu3
1.0
4.973 0.000 0.000
0.000 4.973 0.000
0.000 0.000 4.973
Ir Au Ga
1 3 1
Direct
0.000 0.000 0.000 Ir
0.000 0.500 0.000 Au
0.000 0.000 0.500 Au
0.500 0.000 0.000 Au
0.500 0.500 0.500 Ga
```

Results
Formation energy   1025 meV/atom
Symmetry   No. 221
Fermi-level density of states   1.201 states/eV per atom

=====

# 2
A relaxed structure of KGaAu3. Source: the Alexandria database, functional PBEsol.

Geometry as POSCAR:
```
KGaAu3
1.0
5.517 0.000 0.000
0.000 5.517 0.000
0.000 0.000 5.517
K Au Ga
1 3 1
Direct
0.000 0.000 0.000 K
0.000 0.500 0.000 Au
0.000 0.000 0.500 Au
0.500 0.000 0.000 Au
0.500 0.500 0.500 Ga
```

Results
Formation energy   1283 meV/atom
Symmetry   No. 221
Fermi-level density of states   0.789 states/eV per atom

=====

# 3
A relaxed structure of KGaAu2. Source: the Alexandria database, functional PBEsol.

Geometry as POSCAR:
```
KGaAu2
1.0
5.333 0.000 0.000
0.000 5.333 0.000
-2.667 -2.667 8.426
K Au Ga
2 4 2
Direct
0.500 0.500 0.000 K
0.750 0.250 0.500 K
0.625 0.875 0.750 Au
0.125 0.875 0.750 Au
0.125 0.875 0.250 Au
0.125 0.375 0.250 Au
0.000 0.000 0.000 Ga
0.250 0.750 0.500 Ga
```

Results
Formation energy   -146 meV/atom
Symmetry   No. 141
Fermi-level density of states   0.446 states/eV per atom

=====

# 4
A relaxed structure of K2GaAu. Source: the Alexandria database, functional PBEsol.

Geometry as POSCAR:
```
K2GaAu
1.0
-2.757 3.888 0.568
-5.271 -1.799 7.007
4.510 5.344 5.586
K Au Ga
4 2 2
Direct
0.947 0.178 0.678 K
0.803 0.822 0.322 K
0.375 0.678 0.822 K
0.875 0.322 0.178 K
0.750 0.500 0.500 Au
0.000 0.000 0.000 Au
0.250 0.500 0.500 Ga
0.500 0.000 0.000 Ga
```

Results
Formation energy   -72 meV/atom
Symmetry   No. 122
Fermi-level density of states   0.616 states/eV per atom

=====

# 5
A relaxed structure of K2Ga2Au. Source: the Alexandria database, functional PBEsol.

Geometry as POSCAR:
```
K2Ga2Au
1.0
5.661 0.000 0.000
0.000 6.749 0.000
0.000 0.000 6.749
K Au Ga
4 2 4
Direct
0.500 0.188 0.688 K
0.500 0.688 0.812 K
0.500 0.812 0.312 K
0.500 0.312 0.188 K
0.000 0.000 0.000 Au
0.000 0.500 0.500 Au
0.000 0.367 0.867 Ga
0.000 0.867 0.633 Ga
0.000 0.633 0.133 Ga
0.000 0.133 0.367 Ga
```

Results
Formation energy   -100 meV/atom
Symmetry   No. 127
Fermi-level density of states   0.582 states/eV per atom

=====

# 6
A relaxed structure of KGa3Au. Source: the Alexandria database, functional PBEsol.

Geometry as POSCAR:
```
KGa3Au
1.0
5.439 0.000 0.000
0.000 5.439 0.000
0.000 0.000 5.439
K Au Ga
1 1 3
Direct
0.000 0.000 0.000 K
0.500 0.500 0.500 Au
0.000 0.500 0.000 Ga
0.000 0.000 0.500 Ga
0.500 0.000 0.000 Ga
```

Results
Formation energy   1381 meV/atom
Symmetry   No. 221
Fermi-level density of states   1.003 states/eV per atom

=====

# 7
A relaxed structure of LaGaAu2. Source: the Alexandria database, functional PBEsol.

Geometry as POSCAR:
```
LaGaAu2
1.0
4.940 0.000 0.000
2.470 4.278 0.000
2.470 1.426 4.033
Au Ga La
2 1 1
Direct
0.250 0.250 0.250 Au
0.750 0.750 0.750 Au
0.000 0.000 0.000 Ga
0.500 0.500 0.500 La
```

Results
Formation energy   -608 meV/atom
Symmetry   No. 225
Fermi-level density of states   0.552 states/eV per atom

=====

# 8
A relaxed structure of Li2GaAu. Source: the Alexandria database, functional PBEsol.

Geometry as POSCAR:
```
Li2GaAu
1.0
-0.396 -0.081 -4.319
0.259 -3.769 -2.132
-3.547 -1.710 -1.822
Au Ga Li
1 1 2
Direct
0.250 0.250 0.250 Au
0.000 0.000 0.000 Ga
0.750 0.750 0.750 Li
0.500 0.500 0.500 Li
```

Results
Formation energy   -525 meV/atom
Symmetry   No. 216
Fermi-level density of states   0.254 states/eV per atom

=====

# 9
A relaxed structure of Li2GaAu. Source: the Alexandria database, functional PBEsol.

Geometry as POSCAR:
```
Li2GaAu
1.0
-4.868 -1.067 0.437
-1.395 -3.671 4.139
-2.996 3.372 3.493
Au Ga Li
2 2 4
Direct
0.000 0.000 0.000 Au
0.750 0.500 0.500 Au
0.500 0.000 0.000 Ga
0.250 0.500 0.500 Ga
0.639 0.986 0.486 Li
0.111 0.014 0.514 Li
0.375 0.514 0.986 Li
0.875 0.486 0.014 Li
```

Results
Formation energy   -222 meV/atom
Symmetry   No. 122
Fermi-level density of states   0.243 states/eV per atom

=====

# 10
A relaxed structure of Li3GaAu. Source: the Alexandria database, functional PBEsol.

Geometry as POSCAR:
```
Li3GaAu
1.0
-2.216 1.687 3.834
-3.903 0.743 -2.583
-1.520 -4.366 1.043
Au Ga Li
1 1 3
Direct
0.000 0.000 0.000 Au
0.500 0.500 0.500 Ga
0.000 0.500 0.000 Li
0.000 0.000 0.500 Li
0.500 0.000 0.000 Li
```

Results
Formation energy   20 meV/atom
Symmetry   No. 221
Fermi-level density of states   0.433 states/eV per atom

=====

# 11
A relaxed structure of MgGaAu. Source: the Alexandria database, functional PBEsol.

Geometry as POSCAR:
```
MgGaAu
1.0
-0.410 2.721 1.972
-5.242 2.464 -4.489
-1.747 -4.348 5.634
Mg Ga Au
3 3 3
Direct
0.000 0.616 0.000 Mg
0.000 0.384 0.384 Mg
0.000 0.000 0.616 Mg
0.500 0.281 0.000 Ga
0.500 0.719 0.719 Ga
0.500 0.000 0.281 Ga
0.000 0.000 0.000 Au
0.500 0.333 0.667 Au
0.500 0.667 0.333 Au
```

Results
Formation energy   -464 meV/atom
Symmetry   No. 189
Fermi-level density of states   0.251 states/eV per atom

=====

# 12
A relaxed structure of MgGaAu2. Source: the Alexandria database, functional PBEsol.

Geometry as POSCAR:
```
MgGaAu2
1.0
-1.152 -1.561 3.918
4.197 -0.042 -1.222
1.079 7.830 3.438
Mg Ga Au
2 2 4
Direct
0.667 0.333 0.250 Mg
0.333 0.667 0.750 Mg
0.000 0.000 0.000 Ga
0.000 0.000 0.500 Ga
0.333 0.667 0.090 Au
0.667 0.333 0.910 Au
0.667 0.333 0.590 Au
0.333 0.667 0.410 Au
```

Results
Formation energy   -453 meV/atom
Symmetry   No. 194
Fermi-level density of states   0.234 states/eV per atom

=====

# 13
A relaxed structure of MgGaAu3. Source: the Alexandria database, functional PBEsol.

Geometry as POSCAR:
```
MgGaAu3
1.0
-0.060 -2.096 4.288
4.661 0.900 0.505
-1.030 4.193 2.036
Mg Au Ga
1 3 1
Direct
0.500 0.500 0.500 Mg
0.000 0.500 0.000 Au
0.000 0.000 0.500 Au
0.500 0.000 0.000 Au
0.000 0.000 0.000 Ga
```

Results
Formation energy   161 meV/atom
Symmetry   No. 221
E above lowest polymorph   0 meV/atom
Fermi-level density of states   0.296 states/eV per atom

=====

# 14
A relaxed structure of Mg2GaAu2. Source: the Alexandria database, functional PBEsol.

Geometry as POSCAR:
```
Mg2GaAu2
1.0
-1.161 3.390 -0.948
-6.042 -2.733 -2.374
-2.871 0.802 6.382
Mg Au Ga
4 4 2
Direct
0.500 0.158 0.658 Mg
0.500 0.658 0.842 Mg
0.500 0.842 0.342 Mg
0.500 0.342 0.158 Mg
0.000 0.356 0.856 Au
0.000 0.856 0.644 Au
0.000 0.644 0.144 Au
0.000 0.144 0.356 Au
0.000 0.000 0.000 Ga
0.000 0.500 0.500 Ga
```

Results
Formation energy   -439 meV/atom
Symmetry   No. 127
Fermi-level density of states   0.276 states/eV per atom

=====

# 15
A relaxed structure of Mg3GaAu. Source: the Alexandria database, functional PBEsol.

Geometry as POSCAR:
```
Mg3GaAu
1.0
5.044 0.000 0.000
0.000 5.044 0.000
0.000 0.000 5.044
Mg Au Ga
3 1 1
Direct
0.000 0.500 0.000 Mg
0.000 0.000 0.500 Mg
0.500 0.000 0.000 Mg
0.000 0.000 0.000 Au
0.500 0.500 0.500 Ga
```

Results
Formation energy   -2 meV/atom
Symmetry   No. 221
Fermi-level density of states   0.419 states/eV per atom

=====

# 16
A relaxed structure of Mg2Ga2Au. Source: the Alexandria database, functional PBEsol.

Geometry as POSCAR:
```
Mg2Ga2Au
1.0
-0.464 3.683 1.954
-5.643 -2.131 2.676
3.342 -2.333 5.189
Mg Au Ga
4 2 4
Direct
0.500 0.171 0.671 Mg
0.500 0.671 0.829 Mg
0.500 0.829 0.329 Mg
0.500 0.329 0.171 Mg
0.000 0.000 0.000 Au
0.000 0.500 0.500 Au
0.000 0.367 0.867 Ga
0.000 0.867 0.633 Ga
0.000 0.633 0.133 Ga
0.000 0.133 0.367 Ga
```

Results
Formation energy   -306 meV/atom
Symmetry   No. 127
Fermi-level density of states   0.264 states/eV per atom

=====

# 17
A relaxed structure of MgGa2Au2. Source: the Alexandria database, functional PBEsol.

Geometry as POSCAR:
```
MgGa2Au2
1.0
-3.007 0.089 -3.390
-3.376 -0.509 2.981
2.855 4.906 0.626
Mg Au Ga
1 2 2
Direct
0.000 0.000 0.000 Mg
0.250 0.750 0.500 Au
0.750 0.250 0.500 Au
0.373 0.373 0.747 Ga
0.627 0.627 0.253 Ga
```

Results
Formation energy   -189 meV/atom
Symmetry   No. 139
Fermi-level density of states   0.326 states/eV per atom

=====

# 18
A relaxed structure of MgGaAu3. Source: the Alexandria database, functional PBEsol.

Geometry as POSCAR:
```
MgGaAu3
1.0
-2.932 -3.796 1.026
3.365 -3.084 -1.793
2.033 -0.368 4.448
Mg Au Ga
1 3 1
Direct
0.000 0.000 0.000 Mg
0.000 0.500 0.000 Au
0.000 0.000 0.500 Au
0.500 0.000 0.000 Au
0.500 0.500 0.500 Ga
```

Results
Formation energy   514 meV/atom
Symmetry   No. 221
E above lowest polymorph   352 meV/atom
Fermi-level density of states   0.256 states/eV per atom

=====

# 19
A relaxed structure of Mg2GaWAu. Source: the Alexandria database, functional PBEsol.

Geometry as POSCAR:
```
Mg2GaWAu
1.0
-4.542 0.490 -1.099
0.842 -2.018 -4.382
-0.929 -4.433 1.863
Mg Au Ga W
2 1 1 1
Direct
0.000 0.000 0.500 Mg
0.000 0.500 0.000 Mg
0.000 0.000 0.000 Au
0.500 0.000 0.000 Ga
0.500 0.500 0.500 W
```

Results
Formation energy   1050 meV/atom
Symmetry   No. 123
Fermi-level density of states   0.562 states/eV per atom

=====

# 20
A relaxed structure of Ga2MoAu. Source: the Alexandria database, functional PBEsol.

Geometry as POSCAR:
```
Ga2MoAu
1.0
4.406 0.000 0.000
2.203 3.816 0.000
2.203 1.272 3.598
Mo Au Ga
1 1 2
Direct
0.000 0.000 0.000 Mo
0.500 0.500 0.500 Au
0.250 0.250 0.250 Ga
0.750 0.750 0.750 Ga
```

Results
Formation energy   85 meV/atom
Symmetry   No. 225
Fermi-level density of states   0.573 states/eV per atom

=====

# 21
A relaxed structure of GaTe2AuN. Source: the Alexandria database, functional PBEsol.

Geometry as POSCAR:
```
GaTe2AuN
1.0
3.439 0.000 0.000
0.000 5.588 0.000
0.000 0.000 5.588
Te Au Ga N
2 1 1 1
Direct
0.000 0.000 0.500 Te
0.000 0.500 0.000 Te
0.500 0.500 0.500 Au
0.000 0.000 0.000 Ga
0.500 0.000 0.000 N
```

Results
Formation energy from raw total energies   698 meV per atom
Symmetry   No. 123
Fermi-level density of states   0.770 states/eV per atom

=====

# 22
A relaxed structure of Na2Ga2Au. Source: the Alexandria database, functional PBEsol.

Geometry as POSCAR:
```
Na2Ga2Au
1.0
-4.380 -0.442 -2.204
-2.646 -2.068 5.673
-1.435 6.231 1.602
Na Au Ga
4 2 4
Direct
0.500 0.179 0.679 Na
0.500 0.679 0.821 Na
0.500 0.821 0.321 Na
0.500 0.321 0.179 Na
0.000 0.000 0.000 Au
0.000 0.500 0.500 Au
0.000 0.366 0.866 Ga
0.000 0.866 0.634 Ga
0.000 0.634 0.134 Ga
0.000 0.134 0.366 Ga
```

Results
Formation energy   -200 meV/atom
Symmetry   No. 127
Fermi-level density of states   0.347 states/eV per atom

=====

# 23
A relaxed structure of Na2GaAu2. Source: the Alexandria database, functional PBEsol.

Geometry as POSCAR:
```
Na2GaAu2
1.0
-3.446 2.914 -1.283
-2.484 -4.724 -4.056
-3.811 -2.300 5.013
Na Au Ga
4 4 2
Direct
0.500 0.166 0.666 Na
0.500 0.666 0.834 Na
0.500 0.834 0.334 Na
0.500 0.334 0.166 Na
0.000 0.354 0.854 Au
0.000 0.854 0.646 Au
0.000 0.646 0.146 Au
0.000 0.146 0.354 Au
0.000 0.000 0.000 Ga
0.000 0.500 0.500 Ga
```

Results
Formation energy   -230 meV/atom
Symmetry   No. 127
Fermi-level density of states   0.326 states/eV per atom

=====

# 24
A relaxed structure of NaGa2Au2. Source: the Alexandria database, functional PBEsol.

Geometry as POSCAR:
```
NaGa2Au2
1.0
-0.566 -0.972 -4.034
-0.316 -4.049 1.020
-5.216 3.115 2.155
Na Au Ga
1 2 2
Direct
0.000 0.000 0.000 Na
0.383 0.383 0.766 Au
0.617 0.617 0.234 Au
0.250 0.750 0.500 Ga
0.750 0.250 0.500 Ga
```

Results
Formation energy   -261 meV/atom
Symmetry   No. 139
E above lowest polymorph   0 meV/atom
Fermi-level density of states   0.396 states/eV per atom

=====

# 25
A relaxed structure of NaGa2Au2. Source: the Alexandria database, functional PBEsol.

Geometry as POSCAR:
```
NaGa2Au2
1.0
2.759 0.000 0.000
0.000 8.088 0.000
0.000 0.000 8.088
Na Au Ga
2 4 4
Direct
0.000 0.000 0.000 Na
0.000 0.500 0.500 Na
0.000 0.339 0.839 Au
0.000 0.839 0.661 Au
0.000 0.661 0.161 Au
0.000 0.161 0.339 Au
0.500 0.136 0.636 Ga
0.500 0.636 0.864 Ga
0.500 0.864 0.364 Ga
0.500 0.364 0.136 Ga
```

Results
Formation energy   -225 meV/atom
Symmetry   No. 127
E above lowest polymorph   36 meV/atom
Fermi-level density of states   0.305 states/eV per atom

=====

# 26
A relaxed structure of NaGaRh2Au. Source: the Alexandria database, functional PBEsol.

Geometry as POSCAR:
```
NaGaRh2Au
1.0
-3.104 0.540 3.189
-2.715 -2.838 -2.162
1.771 -3.453 2.309
Rh Au Ga Na
2 1 1 1
Direct
0.000 0.500 0.000 Rh
0.500 0.000 0.000 Rh
0.000 0.000 0.500 Au
0.500 0.500 0.500 Ga
0.000 0.000 0.000 Na
```

Results
Formation energy   1462 meV/atom
Symmetry   No. 123
Fermi-level density of states   1.459 states/eV per atom

=====

In order of appearance, total magnetization = 0.0; 0.0; 0.0; 0.0; 0.0; 0.0; 0.0; 0.0; 0.0; 0.0; 0.0; 0.0; 0.0; 0.0; 0.0; 0.0; 0.0; 0.0; 3.4; 0.0; 0.0; 0.0; 0.0; 0.0; 0.0; 0.3 μB/cell.